A plane-wave DFT calculation with meta-GGA SCAN was carried out for a PBEsol-optimized structure of P2AuSO.

a = 3.9728 Å, b = 3.9728 Å, c = 4.6547 Å
α = 90.00°, β = 90.00°, γ = 90.00°
With the nearest neighbours (Å) after each atom.
Atoms (fractional coordinates):
P: 0.0000 0.5000 0.0000  2 O 1.99
P: 0.5000 0.0000 0.0000  2 O 1.99
Au: 0.0000 0.0000 0.5000  4 S 2.81, 8 P 3.06
S: 0.5000 0.5000 0.5000  2 O 2.33
O: 0.5000 0.5000 0.0000  4 P 1.99

Computed properties:
As for the density of states at the Fermi level: 3.388 states/eV per cell. Its energy relative to the elements, uncorrected is 872.0 meV per atom. For the theoretical density, the calculation gives 6938 kg/m³.


A plane-wave DFT calculation with meta-GGA SCAN was carried out for a PBEsol-optimized structure of Cr2HgOs.

a = 3.8316 Å, b = 3.8316 Å, c = 3.7697 Å
α = 90.00°, β = 90.00°, γ = 90.00°
With the nearest neighbours (Å) after each atom.
Atoms (fractional coordinates):
Cr: 0.0000 0.5000 0.0000  4 Hg 2.69, 4 Os 2.69, 4 Cr 2.71
Cr: 0.5000 0.0000 0.0000  4 Hg 2.69, 4 Os 2.69, 4 Cr 2.71
Hg: 0.0000 0.0000 0.5000  8 Cr 2.69, 4 Os 2.71
Os: 0.5000 0.5000 0.5000  8 Cr 2.69, 4 Hg 2.71

Computed properties:
As for the density of states at the Fermi level: 3.412 states/eV per cell. For the theoretical density, the calculation gives 14846 kg/m³. The formation energy comes out at 2.4 eV per formula unit.


A plane-wave DFT calculation with meta-GGA SCAN was carried out for a PBEsol-optimized structure of FeCoOs.

a = 3.8699 Å, b = 3.8699 Å, c = 3.8699 Å
α = 60.00°, β = 60.00°, γ = 60.00°
With the nearest neighbours (Å) after each atom.
Atoms (fractional coordinates):
Fe: 0.0000 0.0000 0.0000  4 Os 2.37
Co: 0.5000 0.5000 0.5000  4 Os 2.37
Os: 0.7500 0.7500 0.7500  4 Fe 2.37, 4 Co 2.37

Computed properties:
As for the density of states at the Fermi level: 2.450 states/eV per cell. For the theoretical density, the calculation gives 12358 kg/m³. The formation energy comes out at 2.4 eV per formula unit.


A plane-wave DFT calculation with meta-GGA SCAN was carried out for a PBEsol-optimized structure of BaLi2As.

a = 4.2841 Å, b = 4.3145 Å, c = 6.5521 Å
α = 90.00°, β = 108.88°, γ = 90.00°
With the nearest neighbours (Å) after each atom.
Atoms (fractional coordinates):
Ba: 0.0000 0.0000 0.0000  4 As 3.33, 5 Li 3.38-3.58
Li: 0.2912 0.0000 0.5774  2 As 2.50
Li: 0.7745 0.5000 0.5446  2 As 2.60
As: 0.3917 0.5000 0.7813  4 Li 2.50-2.60

Computed properties:
As for the density of states at the Fermi level: 0.738 states/eV per cell. For the theoretical density, the calculation gives 3277 kg/m³. The formation energy comes out at -2.8 eV per formula unit.


A plane-wave DFT calculation with meta-GGA SCAN was carried out for a PBEsol-optimized structure of SrSc2Cr.

a = 3.6187 Å, b = 3.6187 Å, c = 7.9799 Å
α = 90.00°, β = 90.00°, γ = 90.00°
With the nearest neighbours (Å) after each atom.
Atoms (fractional coordinates):
Sr: 0.0000 0.0000 0.0000  5 Sc 3.41-3.77, 4 Cr 3.44, 4 Sr 3.62
Sc: 0.0000 0.0000 0.4274  4 Cr 2.79
Sc: 0.5000 0.5000 0.6535  1 Cr 2.91, 4 Sc 3.13
Cr: 0.5000 0.5000 0.2890  5 Sc 2.79-2.91

Computed properties:
As for the density of states at the Fermi level: 3.392 states/eV per cell. For the theoretical density, the calculation gives 3647 kg/m³. The formation energy comes out at 1.1 eV per formula unit.


A plane-wave DFT calculation with meta-GGA SCAN was carried out for a PBEsol-optimized structure of NiAu2.

a = 5.8620 Å, b = 5.8620 Å, c = 5.8620 Å
α = 152.03°, β = 152.03°, γ = 39.97°
With the nearest neighbours (Å) after each atom.
Atoms (fractional coordinates):
Ni: 0.0000 0.0000 0.0000  8 Au 2.63, 4 Ni 2.83
Au: 0.3456 0.3456 0.0000  4 Ni 2.63, 8 Au 2.83-2.91
Au: 0.6544 0.6544 0.0000  4 Ni 2.63, 8 Au 2.83-2.91

Computed properties:
As for the density of states at the Fermi level: 3.155 states/eV per cell. For the theoretical density, the calculation gives 16994 kg/m³. The formation energy comes out at 0.2 eV per formula unit.